No. 1
{
  "formula": "MgCd2Ru",
  "functional": "GGA-PBE",
  "state": "relaxed",
  "crystal_system": "tetragonal",
  "dos_at_fermi_per_ev_fu": 3.0,
  "vol_a3_per_fu": 71.6,
  "mass_density_g_cm3": 8.1,
  "dft_energy_ev_per_atom": -3.127,
  "formation_enthalpy_0k_ev_per_atom": 0.0485,
  "lattice_angstrom": [[4.140, 0.000, 0.000], [0.000, 4.136, 0.000], [0.000, 0.000, 4.184]],
  "species": ["Cd", "Cd", "Mg", "Ru"],
  "fractional_positions": [[0.000, 0.000, 0.000], [0.500, 0.500, 0.000], [0.500, 0.000, 0.500], [0.000, 0.500, 0.500]]
}

---

No. 2
{
  "formula": "MgCd3Ru",
  "functional": "GGA-PBE",
  "state": "relaxed",
  "relative_energy_ev_per_atom": 0.000,
  "crystal_system": "cubic",
  "dos_at_fermi_per_ev_fu": 4.1,
  "vol_a3_per_fu": 137.8,
  "mass_density_g_cm3": 5.6,
  "dft_energy_ev_per_atom": -2.167,
  "formation_enthalpy_0k_ev_per_atom": 0.5561,
  "lattice_angstrom": [[-0.440, -2.840, -4.292], [4.669, -2.033, 0.867], [-2.166, -3.805, 2.740]],
  "species": ["Ru", "Mg", "Cd", "Cd", "Cd"],
  "fractional_positions": [[0.000, 0.000, 0.000], [0.500, 0.500, 0.500], [0.000, 0.500, 0.000], [0.000, 0.000, 0.500], [0.500, 0.000, 0.000]]
}

---

No. 3
{
  "formula": "Mg2CdRu",
  "functional": "GGA-PBE",
  "state": "relaxed",
  "crystal_system": "orthorhombic",
  "dos_at_fermi_per_ev_fu": 3.0,
  "vol_a3_per_fu": 71.3,
  "mass_density_g_cm3": 6.1,
  "dft_energy_ev_per_atom": -3.362,
  "formation_enthalpy_0k_ev_per_atom": -0.0172,
  "lattice_angstrom": [[3.361, 0.000, 0.000], [0.000, 3.373, -0.003], [0.000, 3.379, 6.290]],
  "species": ["Cd", "Mg", "Mg", "Ru"],
  "fractional_positions": [[0.500, 0.750, 0.750], [0.000, 0.964, 0.035], [0.000, 0.536, 0.465], [0.500, 0.250, 0.250]]
}

---

No. 4
{
  "formula": "Mg2CdRu",
  "functional": "GGA-PBE",
  "state": "relaxed",
  "crystal_system": "tetragonal",
  "dos_at_fermi_per_ev_fu": 0.6,
  "vol_a3_per_fu": 76.8,
  "mass_density_g_cm3": 5.7,
  "dft_energy_ev_per_atom": -3.038,
  "formation_enthalpy_0k_ev_per_atom": 0.3071,
  "lattice_angstrom": [[-1.529, -0.784, -7.148], [-2.663, -6.727, 1.308], [-4.678, -2.649, -2.489]],
  "species": ["Ru", "Ru", "Mg", "Mg", "Mg", "Mg", "Cd", "Cd"],
  "fractional_positions": [[0.500, 0.500, 0.000], [0.250, 0.750, 0.500], [0.606, 0.125, 0.250], [0.144, 0.625, 0.250], [0.375, 0.394, 0.750], [0.875, 0.856, 0.750], [0.000, 0.000, 0.000], [0.750, 0.250, 0.500]]
}